Ca3CrF8 after structural relaxation. Source: Alexandria, functional GGA+U.

```
Ca3CrF8
1.0
6.242 -0.256 0.000
-3.153 5.394 0.000
0.000 0.000 6.649
F Ca Cr
8 3 1
direct
0.241 0.312 0.269 F
0.312 0.241 0.731 F
0.688 0.759 0.731 F
0.715 0.285 0.500 F
0.759 0.688 0.269 F
0.293 0.707 0.000 F
0.285 0.715 0.500 F
0.707 0.293 0.000 F
0.000 0.500 0.259 Ca
0.500 0.500 0.000 Ca
0.500 0.000 0.741 Ca
0.500 0.500 0.500 Cr
```

## Properties
**Mass density**: 2.46 g/cm³
**Total energy**: -5.863 eV/atom
**Symmetry**: C222